Density functional theory data (GGA-PBE) for a geometry-optimized Be3InAu6 structure.

It has space group P1 (No. 1), with a = 5.4922 Å, b = 5.6091 Å, c = 6.4159 Å, α = 70.72°, β = 73.27° and γ = 66.83°. The inequivalent atoms are Be at (0.0000, 0.0000, 0.0000), Be at (0.1888, 0.2883, 0.4021), Be at (0.7285, 0.7306, 0.0009), In at (0.3459, 0.4487, 0.9124), Au at (0.3080, 0.9243, 0.2233), Au at (0.4301, 0.0075, 0.7135), Au at (0.6505, 0.3105, 0.2687), Au at (0.8572, 0.7141, 0.3225), Au at (0.8886, 0.4316, 0.7736) and Au at (0.9693, 0.9509, 0.6478).

As for the density of states at the Fermi level: 0.27 states/eV/atom. The energy is -3.41 eV per atom.

***

Density functional theory data (GGA-PBE) for a geometry-optimized Be2InAu6 structure.

It has space group Immm (No. 71), with a = 7.8172 Å, b = 8.1565 Å, c = 9.3802 Å, α = 90.00°, β = 90.00° and γ = 90.00°. The inequivalent atoms are Be at (0.0000, 0.0000, 0.1252), Be at (0.0000, 0.1566, 0.5000), In at (0.0000, 0.5000, 0.0000), In at (0.0000, 0.5000, 0.5000), Au at (0.0000, 0.2957, 0.2611), Au at (0.1930, 0.0000, 0.3335) and Au at (0.1958, 0.1860, 0.0000).

As for the density of states at the Fermi level: 0.21 states/eV/atom. The energy is -3.39 eV per atom.

***

Question: energy of number 2 (Be2InAu6)?
Answer: -3.39 eV per atom